{"formula": "Na4Sb5Au2", "functional": "PBE", "state": "relaxed", "raw_formation_energy_ev_per_atom": -0.245, "magnetic_moment_mub_per_fu": 0.00, "total_energy_ev_per_atom": -3.194, "lattice_angstrom": [[8.0032, 0.0000, 0.0000], [0.0000, 3.2619, 0.0000], [-0.6133, 0.0000, 10.4910]], "species": ["Na", "Na", "Na", "Na", "Sb", "Sb", "Sb", "Sb", "Sb", "Au", "Au"], "frac_coords": [[0.1584, 0.0000, 0.3897], [0.2636, 0.0000, 0.9468], [0.7364, 0.0000, 0.0532], [0.8416, 0.0000, 0.6103], [0.1925, 0.5000, 0.6807], [0.4193, 0.5000, 0.2022], [0.5000, 0.5000, 0.5000], [0.5807, 0.5000, 0.7978], [0.8075, 0.5000, 0.3193], [0.0639, 0.5000, 0.1366], [0.9361, 0.5000, 0.8634]]}

{"formula": "Na4Sb2Au", "functional": "PBE", "state": "relaxed", "raw_formation_energy_ev_per_atom": -0.369, "magnetic_moment_mub_per_fu": 0.00, "total_energy_ev_per_atom": -2.769, "lattice_angstrom": [[2.6142, 1.5093, 9.4461], [-2.6142, 1.5093, 9.4461], [0.0000, -3.0186, 9.4461]], "species": ["Na", "Na", "Na", "Na", "Sb", "Sb", "Au"], "frac_coords": [[0.1196, 0.1196, 0.1196], [0.2936, 0.2936, 0.2936], [0.7064, 0.7064, 0.7064], [0.8804, 0.8804, 0.8804], [0.4081, 0.4081, 0.4081], [0.5919, 0.5919, 0.5919], [0.5000, 0.5000, 0.5000]]}

{"formula": "Na2Sb2Au3", "functional": "PBE", "state": "relaxed", "de_polymorph_ev_per_atom": 0.000, "raw_formation_energy_ev_per_atom": -0.270, "magnetic_moment_mub_per_fu": 0.00, "total_energy_ev_per_atom": -3.230, "lattice_angstrom": [[5.9048, -2.2218, 0.0000], [5.9048, 2.2218, 0.0000], [-3.7372, 0.0000, 6.5289]], "species": ["Na", "Na", "Sb", "Sb", "Au", "Au", "Au"], "frac_coords": [[0.1354, 0.1354, 0.2607], [0.8646, 0.8646, 0.7393], [0.1451, 0.1451, 0.7404], [0.8549, 0.8549, 0.2596], [0.4054, 0.4054, 0.0578], [0.5000, 0.5000, 0.5000], [0.5946, 0.5946, 0.9422]]}

{"formula": "NaSb2Au", "functional": "PBE", "state": "relaxed", "de_polymorph_ev_per_atom": 0.043, "raw_formation_energy_ev_per_atom": -0.170, "magnetic_moment_mub_per_fu": 0.00, "total_energy_ev_per_atom": -3.380, "lattice_angstrom": [[4.4173, 0.0000, 0.0000], [0.0000, 8.1884, 0.0000], [-2.1901, 0.0000, 5.6304]], "species": ["Na", "Na", "Sb", "Sb", "Sb", "Sb", "Au", "Au"], "frac_coords": [[0.0597, 0.2500, 0.1182], [0.9403, 0.7500, 0.8818], [0.3696, 0.0417, 0.7412], [0.3696, 0.4583, 0.7412], [0.6304, 0.5417, 0.2588], [0.6304, 0.9583, 0.2588], [0.2312, 0.7500, 0.4575], [0.7688, 0.2500, 0.5425]]}

{"formula": "Na12Sb7Au", "functional": "PBE", "state": "relaxed", "raw_formation_energy_ev_per_atom": -0.254, "magnetic_moment_mub_per_fu": 0.00, "total_energy_ev_per_atom": -2.652, "lattice_angstrom": [[7.4823, 4.3199, 3.0991], [-7.4823, 4.3199, 3.0991], [0.0000, -8.6398, 3.0991]], "species": ["Na", "Na", "Na", "Na", "Na", "Na", "Na", "Na", "Na", "Na", "Na", "Na", "Sb", "Sb", "Sb", "Sb", "Sb", "Sb", "Sb", "Au"], "frac_coords": [[0.0473, 0.2350, 0.3275], [0.2291, 0.6794, 0.4006], [0.2350, 0.3275, 0.0473], [0.3206, 0.5994, 0.7709], [0.3275, 0.0473, 0.2350], [0.4006, 0.2291, 0.6794], [0.5994, 0.7709, 0.3206], [0.6725, 0.9527, 0.7650], [0.6794, 0.4006, 0.2291], [0.7650, 0.6725, 0.9527], [0.7709, 0.3206, 0.5994], [0.9527, 0.7650, 0.6725], [0.0002, 0.1347, 0.6295], [0.9998, 0.8653, 0.3705], [0.1347, 0.6295, 0.0002], [0.3705, 0.9998, 0.8653], [0.5000, 0.5000, 0.5000], [0.6295, 0.0002, 0.1347], [0.8653, 0.3705, 0.9998], [0.0000, 0.0000, 0.0000]]}

{"formula": "NaSb2Au", "functional": "PBE", "state": "relaxed", "de_polymorph_ev_per_atom": 0.089, "raw_formation_energy_ev_per_atom": -0.124, "magnetic_moment_mub_per_fu": 0.00, "total_energy_ev_per_atom": -3.335, "lattice_angstrom": [[2.1309, 1.2303, 7.2470], [-2.1309, 1.2303, 7.2470], [0.0000, -2.4606, 7.2470]], "species": ["Na", "Sb", "Sb", "Au"], "frac_coords": [[0.0000, 0.0000, 0.0000], [0.2273, 0.2273, 0.2273], [0.7727, 0.7727, 0.7727], [0.5000, 0.5000, 0.5000]]}

What did the fourth record say?
{"formula": "NaSb2Au", "functional": "PBE", "state": "relaxed", "de_polymorph_ev_per_atom": 0.043, "raw_formation_energy_ev_per_atom": -0.170, "magnetic_moment_mub_per_fu": 0.00, "total_energy_ev_per_atom": -3.380, "lattice_angstrom": [[4.4173, 0.0000, 0.0000], [0.0000, 8.1884, 0.0000], [-2.1901, 0.0000, 5.6304]], "species": ["Na", "Na", "Sb", "Sb", "Sb", "Sb", "Au", "Au"], "frac_coords": [[0.0597, 0.2500, 0.1182], [0.9403, 0.7500, 0.8818], [0.3696, 0.0417, 0.7412], [0.3696, 0.4583, 0.7412], [0.6304, 0.5417, 0.2588], [0.6304, 0.9583, 0.2588], [0.2312, 0.7500, 0.4575], [0.7688, 0.2500, 0.5425]]}